(1)
## Tb6Pr2DyY3 (PBE)

Data for an optimized crystal structure of Tb6Pr2DyY3.

The structure belongs to space group C2/m (No. 12); the cell edges are 6.217, 10.762 and 11.896 Å and the angles 90.00°, 99.99° and 90.00°. The distinct sites, in fractional coordinates, are Tb at (0.248, 0.000, 0.248), Tb at (0.249, 0.334, 0.248), Pr at (0.000, 0.333, 0.500), Dy at (0.000, 0.000, 0.500), Y at (0.000, 0.166, 0.000) and Y at (0.000, 0.500, 0.000).

The calculation puts the volume at 32.66 A^3/atom. Its density of states at the Fermi level is 1.34 states/eV per atom. The calculation puts the total energy at -5.0941 eV per atom. As for the formation energy from the elements: 0.21 eV/f.u.

---

(2)
## TbPr3DyY (PBE)

Data for an optimized crystal structure of TbPr3DyY.

The structure belongs to space group Cmcm (No. 63); the cell edges are 5.139, 15.455 and 10.294 Å and the angles 90.00°, 90.00° and 90.00°. The distinct sites, in fractional coordinates, are Tb at (0.000, 0.000, 0.000), Pr at (0.000, 0.165, 0.250), Pr at (0.000, 0.335, 0.000), Dy at (0.000, 0.499, 0.250) and Y at (0.000, 0.165, 0.750).

The calculation puts the volume at 34.07 A^3/atom. Its density of states at the Fermi level is 1.50 states/eV per atom. The calculation puts the total energy at -4.9866 eV per atom. As for the formation energy from the elements: 0.12 eV/f.u.